DFT (GGA-PBE) results for a relaxed structure of Cs7SbAu2F2.

Values from the calculation:
Magnetic moment = 0.00 μB/atom
Uncorrected formation energy = -104 kJ/mol of atoms

CIF file:
```
data_Cs7SbAu2F2
_chemical_formula_sum 'Cs14 Sb2 Au4 F4'
_cell_length_a 6.627
_cell_length_b 25.369
_cell_length_c 6.900
_cell_angle_alpha 90.00
_cell_angle_beta 90.00
_cell_angle_gamma 90.00
_symmetry_space_group_name_H-M 'I m m 2'
_symmetry_Int_Tables_number 44
_symmetry_space_group_name_Hall 'I 2 -2'
loop_
_atom_site_label
_atom_site_fract_x
_atom_site_fract_y
_atom_site_fract_z
Cs1 0.000 0.000 0.000
Cs2 0.000 0.094 0.461
Cs3 0.000 0.217 0.934
Cs4 0.000 0.404 0.397
Sb1 0.000 0.500 0.886
Au1 0.000 0.246 0.433
F1 0.000 0.107 0.878
```